Record 1
Below is a relaxed LiHfAu2N crystal, with properties calculated at the PBE level.

```
5
Lattice="4.0712 0.0000 0.0000 0.0000 5.2161 0.0000 0.0000 0.0000 4.0712" Properties=species:S:1:pos:R:3 pbc="T T T"
N 2.0356 2.6081 2.0356
Hf 0.0000 2.6081 0.0000
Au 2.0356 0.0000 0.0000
Au 0.0000 0.0000 2.0356
Li 0.0000 0.0000 0.0000
```

- Magnetic moment: 0.00 μB per formula unit
- Fermi-level density of states: 0.47 states/eV/atom
- Total DFT energy (no corrections): -4.20 eV/atom
- Energy relative to the elements, uncorrected: 111.1 kJ per mole of atoms

=====

Record 2
Below is a relaxed Ce3DyTm2Bi6 crystal, with properties calculated at the PBE level.

```
12
Lattice="-1.3131 -6.4579 -4.2602 6.7632 3.9035 -0.7751 1.1758 -3.2748 7.0113" Properties=species:S:1:pos:R:3 pbc="T T T"
Bi 4.3414 -2.6886 -2.0670
Bi 6.3440 -2.6704 2.1182
Bi 2.2845 -3.1406 4.0430
Bi 2.9880 0.3129 1.0256
Bi 3.6379 -6.1421 0.9504
Bi 0.2819 -3.1588 -0.1421
Tm 1.3765 -3.0073 -3.0996
Tm 4.0736 0.4530 -1.9357
Ce 0.6140 -6.3772 -0.1767
Ce 6.0118 0.5480 2.1527
Ce 3.3129 -2.9146 0.9880
Dy 0.0000 0.0000 0.0000
```

- Magnetic moment: 2.63 μB per formula unit
- Fermi-level density of states: 1.71 states/eV/atom
- Energy relative to the elements: -9.6 eV per formula unit
- Total DFT energy (no corrections): -5.35 eV/atom

=====

Record 3
Below is a relaxed Ho7ErIn4 crystal, with properties calculated at the PBE level.

```
12
Lattice="5.6474 0.0000 0.0000 2.8237 8.6967 0.5942 2.8237 0.7943 7.2024" Properties=species:S:1:pos:R:3 pbc="T T T"
Ho 2.8237 1.4228 3.3683
Ho 5.6474 6.4402 6.0331
Ho 2.8237 0.0000 0.0000
Ho 5.6474 3.0508 1.7635
Ho 8.4711 8.0682 4.4283
Ho 8.4711 4.0462 5.5004
Ho 2.8237 5.4448 2.2962
In 2.8237 2.9405 0.3900
In 5.6474 6.8262 3.0858
In 5.6474 2.6648 4.7107
In 8.4711 6.5505 7.4066
Er 0.0000 0.0000 0.0000
```

- Magnetic moment: 0.00 μB per formula unit
- Fermi-level density of states: 1.09 states/eV/atom
- Energy relative to the elements: -1.0 eV per formula unit
- Total DFT energy (no corrections): -4.04 eV/atom

=====

Record 4
Below is a relaxed Na3CuH8Pd2 crystal, with properties calculated at the PBE level.

```
14
Lattice="-0.3685 2.3548 -4.3456 -3.0848 -3.7298 1.0669 -4.3827 4.4156 2.7644" Properties=species:S:1:pos:R:3 pbc="T T T"
H -3.4626 3.0234 0.5579
H -3.6519 4.2334 -1.6751
H -5.2370 2.3168 -1.1269
H -4.3734 0.0173 -1.0722
H -2.5989 0.7238 0.6126
H -6.3692 2.5197 1.9055
H -1.4668 0.5210 -2.4198
H -4.1840 -1.1928 1.1608
Pd -3.0584 -0.8159 -0.1828
Pd -4.7775 3.8565 -0.3315
Cu -2.1914 2.2078 1.3822
Na -2.8317 1.8960 -1.5589
Na 0.0000 0.0000 0.0000
Na -5.0043 1.1446 1.0446
```

- Magnetic moment: 0.00 μB per formula unit
- Fermi-level density of states: 0.21 states/eV/atom
- Total DFT energy (no corrections): -3.27 eV/atom

=====

Record 5
Below is a relaxed Tb3Pm3SmS8 crystal, with properties calculated at the PBE level.

```
15
Lattice="-4.4065 -4.7760 4.5513 -0.2632 -0.6950 -7.8989 6.5335 -2.2502 3.9644" Properties=species:S:1:pos:R:3 pbc="T T T"
Pm -2.3349 -2.7355 -1.6738
Pm -0.1316 -0.3475 -3.9495
Pm 0.0000 0.0000 0.0000
S 1.4177 -5.5767 2.4353
S -1.7638 -4.4920 0.4932
S 1.3389 -5.9105 -1.5171
S 3.4985 -3.5698 -3.7477
S 3.6276 -3.2292 0.1236
S -1.6348 -4.1514 4.3645
S 0.4461 -2.1445 -1.8185
S 0.5249 -1.8106 2.1339
Sm 3.2668 -1.1251 1.9822
Tb 3.1351 -1.4726 -1.9672
Tb 1.0635 -3.5131 4.2579
Tb 0.9319 -3.8606 0.3084
```

- Magnetic moment: 0.00 μB per formula unit
- Fermi-level density of states: 0.44 states/eV/atom
- Total DFT energy (no corrections): -6.45 eV/atom
- Energy relative to the elements, uncorrected: -198.2 kJ per mole of atoms

=====

Record 6
Below is a relaxed SbTeRu2 crystal, with properties calculated at the PBE level.

```
4
Lattice="3.2359 0.0000 0.0000 0.0000 3.2473 -0.0128 0.0000 3.2620 6.8586" Properties=species:S:1:pos:R:3 pbc="T T T"
Ru 0.0000 3.2522 3.2448
Ru 0.0000 3.2498 0.1652
Sb 1.6179 1.6273 1.7114
Te 1.6179 4.8820 5.1343
```

- Magnetic moment: 0.00 μB per formula unit
- Fermi-level density of states: 1.02 states/eV/atom
- Total DFT energy (no corrections): -6.22 eV/atom
- Energy relative to the elements, uncorrected: 22.2 kJ per mole of atoms

=====

Number 1: ρ 11.4 g/cm³. Number 2: ρ 9.2 g/cm³. Number 3: ρ 8.4 g/cm³. Number 4: ρ 4.1 g/cm³. Number 5: ρ 6.2 g/cm³. Number 6: ρ 10.4 g/cm³.